No. 1
Density functional theory data (PBE-GGA) for an optimized crystal structure of Ba2AlAg.

The structure in POSCAR format:
```
Ba2AlAg
1.0
3.928 -2.297 0.000
3.928 2.297 0.000
-2.698 0.000 9.231
Ba Al Ag
2 1 1
Direct
0.248 0.248 0.244
0.752 0.752 0.756
0.000 0.000 0.500
0.500 0.500 0.000
```

---

No. 2
Density functional theory data (PBE-GGA) for an optimized crystal structure of ZrAlFe2.

The structure in POSCAR format:
```
ZrAlFe2
1.0
3.079 0.000 0.000
0.000 3.079 0.000
0.000 0.000 5.917
Zr Al Fe
1 1 2
Direct
0.000 0.000 0.000
0.000 0.000 0.500
0.500 0.500 0.272
0.500 0.500 0.728
```

---

No. 3
Density functional theory data (PBE-GGA) for an optimized crystal structure of Nd2Mg2Ge3.

The structure in POSCAR format:
```
Nd2Mg2Ge3
1.0
7.892 -2.210 0.000
7.892 2.210 0.000
-7.347 0.000 9.909
Nd Mg Ge
4 4 6
Direct
0.106 0.106 0.448
0.231 0.231 0.832
0.769 0.769 0.168
0.894 0.894 0.552
0.091 0.091 0.159
0.452 0.452 0.175
0.548 0.548 0.825
0.909 0.909 0.841
0.131 0.131 0.976
0.335 0.335 0.678
0.420 0.420 0.379
0.580 0.580 0.621
0.665 0.665 0.322
0.869 0.869 0.024
```

---

no.,calculated formation energy (eV per atom)
1,0.0455
2,-0.2104
3,-0.5776